No. 1
Material: GaSbPbN2
Method: DFT, GGA-PBE
State: optimized geometry

a b c (Å): 4.190 4.190 5.460
angles (deg): 90.00 90.00 90.00
Space group P4/mmm (No. 123)
One atom of each set of equivalent atoms:
Ga 0.000 0.000 0.000 (multiplicity 1)
Sb 0.000 0.000 0.500 (multiplicity 1)
Pb 0.500 0.500 0.000 (multiplicity 1)
N 0.000 0.500 0.500 (multiplicity 2)

Summary:
Uncorrected formation energy: 1.175 eV per atom
M_tot: 0.000 μB/cell
Electronic total energy: -4.33 eV/atom

No. 2
Material: Sc4GaPbN
Method: DFT, GGA-PBE
State: optimized geometry

a b c (Å): 6.157 14.859 6.164
angles (deg): 90.00 90.00 90.00
Space group Cmcm (No. 63)
One atom of each set of equivalent atoms:
Sc 0.000 0.088 0.250 (multiplicity 4)
Sc 0.000 0.403 0.250 (multiplicity 4)
Sc 0.250 0.250 0.000 (multiplicity 8)
Ga 0.000 0.113 0.750 (multiplicity 4)
Pb 0.000 0.398 0.750 (multiplicity 4)
N 0.000 0.248 0.250 (multiplicity 4)

Summary:
Uncorrected formation energy: -0.898 eV per atom
M_tot: 0.000 μB/cell
Electronic total energy: -6.67 eV/atom

No. 3
Material: GaPbSe2N
Method: DFT, GGA-PBE
State: optimized geometry

a b c (Å): 5.311 5.311 3.816
angles (deg): 90.00 90.00 90.00
Space group P4/mmm (No. 123)
One atom of each set of equivalent atoms:
Ga 0.000 0.000 0.000 (multiplicity 1)
Pb 0.500 0.500 0.500 (multiplicity 1)
Se 0.000 0.500 0.000 (multiplicity 2)
N 0.000 0.000 0.500 (multiplicity 1)

Summary:
Energy relative to the lowest polymorph listed for this composition: 0 meV/atom
Uncorrected formation energy: 0.306 eV per atom
M_tot: 1.879 μB/cell
Electronic total energy: -4.10 eV/atom

No. 4
Material: GaPbSe2N
Method: DFT, GGA-PBE
State: optimized geometry

a b c (Å): 5.546 5.546 4.516
angles (deg): 90.00 90.00 90.00
Space group P4/mmm (No. 123)
One atom of each set of equivalent atoms:
Ga 0.000 0.000 0.000 (multiplicity 1)
Pb 0.500 0.500 0.500 (multiplicity 1)
Se 0.000 0.500 0.500 (multiplicity 2)
N 0.500 0.500 0.000 (multiplicity 1)

Summary:
Energy relative to the lowest polymorph listed for this composition: 573 meV/atom
Uncorrected formation energy: 0.880 eV per atom
M_tot: 2.063 μB/cell
Electronic total energy: -3.53 eV/atom

No. 5
Material: Sm4GaPbN
Method: DFT, GGA-PBE
State: optimized geometry

a b c (Å): 6.797 16.223 6.807
angles (deg): 90.00 90.00 90.00
Space group Cmcm (No. 63)
One atom of each set of equivalent atoms:
Sm 0.000 0.077 0.250 (multiplicity 4)
Sm 0.000 0.410 0.250 (multiplicity 4)
Sm 0.250 0.250 0.000 (multiplicity 8)
Ga 0.000 0.116 0.750 (multiplicity 4)
Pb 0.000 0.394 0.750 (multiplicity 4)
N 0.000 0.256 0.250 (multiplicity 4)

Summary:
Uncorrected formation energy: -0.755 eV per atom
M_tot: 0.000 μB/cell
Electronic total energy: -5.60 eV/atom

No. 6
Material: GaTePbN2
Method: DFT, GGA-PBE
State: optimized geometry

a b c (Å): 4.279 4.279 5.603
angles (deg): 90.00 90.00 90.00
Space group P4/mmm (No. 123)
One atom of each set of equivalent atoms:
Ga 0.000 0.000 0.000 (multiplicity 1)
Te 0.000 0.000 0.500 (multiplicity 1)
Pb 0.500 0.500 0.500 (multiplicity 1)
N 0.000 0.500 0.000 (multiplicity 2)

Summary:
Energy relative to the lowest polymorph listed for this composition: 0 meV/atom
Uncorrected formation energy: 1.156 eV per atom
M_tot: 2.903 μB/cell
Electronic total energy: -4.15 eV/atom